1.
The following is a PBE-GGA calculation of a relaxed VSbOs2W crystal, from the Alexandria database.

Cell: 4.6931 4.6931 4.6416 Å, 90.00 90.00 90.00°
Space group P4/mmm (No. 123)
Asymmetric unit:
V 0.0000 0.0000 0.0000 x1
Sb 0.0000 0.0000 0.5000 x1
Os 0.0000 0.5000 0.5000 x2
W 0.5000 0.5000 0.0000 x1

## Properties
* electronic total energy: -7.27 eV/atom
* crystal system: tetragonal
* formation energy from raw total energies: 2.465 eV per atom



2.
The following is a PBE-GGA calculation of a relaxed Sb4OsW crystal, from the Alexandria database.

Cell: 8.2732 8.2732 8.2732 Å, 90.00 90.00 90.00°
Space group F-43m (No. 216)
Asymmetric unit:
Sb 0.1250 0.1250 0.1250 x16
Os 0.0000 0.0000 0.5000 x4
W 0.2500 0.2500 0.7500 x4

## Properties
* electronic total energy: -5.00 eV/atom
* crystal system: cubic
* formation energy from raw total energies: 1.776 eV per atom



3.
The following is a PBE-GGA calculation of a relaxed SbOsW crystal, from the Alexandria database.

Cell: 2.9820 2.9820 6.8134 Å, 90.00 90.00 120.00°
Space group P3m1 (No. 156)
Asymmetric unit:
Sb 0.0000 0.0000 0.0000 x1
Os 0.3333 0.6667 0.6526 x1
W 0.6667 0.3333 0.3561 x1

## Properties
* energy relative to the lowest polymorph listed for this composition: 188 meV/atom
* electronic total energy: -8.95 eV/atom
* crystal system: trigonal
* formation energy from raw total energies: 0.488 eV per atom



4.
The following is a PBE-GGA calculation of a relaxed SbOsW crystal, from the Alexandria database.

Cell: 2.9953 4.1085 8.3366 Å, 90.00 90.00 90.00°
Space group Imm2 (No. 44)
Asymmetric unit:
Sb 0.0000 0.0000 0.0000 x2
Os 0.0000 0.0000 0.3234 x2
W 0.0000 0.0000 0.6752 x2

## Properties
* energy relative to the lowest polymorph listed for this composition: 311 meV/atom
* electronic total energy: -8.82 eV/atom
* crystal system: orthorhombic
* formation energy from raw total energies: 0.611 eV per atom



5.
The following is a PBE-GGA calculation of a relaxed SbOsW crystal, from the Alexandria database.

Cell: 3.0279 3.0279 11.5124 Å, 90.00 90.00 90.00°
Space group I4mm (No. 107)
Asymmetric unit:
Sb 0.0000 0.0000 0.0000 x2
Os 0.0000 0.0000 0.3202 x2
W 0.0000 0.0000 0.6833 x2

## Properties
* energy relative to the lowest polymorph listed for this composition: 127 meV/atom
* electronic total energy: -9.01 eV/atom
* crystal system: tetragonal
* formation energy from raw total energies: 0.427 eV per atom



6.
The following is a PBE-GGA calculation of a relaxed SbOs3W crystal, from the Alexandria database.

Cell: 4.7595 4.7595 4.7595 Å, 90.00 90.00 90.00°
Space group Pm-3m (No. 221)
Asymmetric unit:
Sb 0.0000 0.0000 0.0000 x1
Os 0.0000 0.5000 0.5000 x3
W 0.5000 0.5000 0.5000 x1

## Properties
* energy relative to the lowest polymorph listed for this composition: 0 meV/atom
* electronic total energy: -8.08 eV/atom
* crystal system: cubic
* formation energy from raw total energies: 2.075 eV per atom



7.
The following is a PBE-GGA calculation of a relaxed SbOsW crystal, from the Alexandria database.

Cell: 6.1974 6.1974 6.1974 Å, 90.00 90.00 90.00°
Space group F-43m (No. 216)
Asymmetric unit:
Sb 0.0000 0.0000 0.0000 x4
Os 0.0000 0.0000 0.5000 x4
W 0.2500 0.2500 0.2500 x4

## Properties
* energy relative to the lowest polymorph listed for this composition: 328 meV/atom
* electronic total energy: -8.81 eV/atom
* crystal system: cubic
* formation energy from raw total energies: 0.628 eV per atom



8.
The following is a PBE-GGA calculation of a relaxed SbOsW crystal, from the Alexandria database.

Cell: 4.4872 4.4872 2.9301 Å, 90.00 90.00 120.00°
Space group P-6m2 (No. 187)
Asymmetric unit:
Sb 0.0000 0.0000 0.0000 x1
Os 0.3333 0.6667 0.0000 x1
W 0.6667 0.3333 0.5000 x1

## Properties
* energy relative to the lowest polymorph listed for this composition: 289 meV/atom
* electronic total energy: -8.85 eV/atom
* crystal system: hexagonal
* formation energy from raw total energies: 0.589 eV per atom



9.
The following is a PBE-GGA calculation of a relaxed SbOsW crystal, from the Alexandria database.

Cell: 6.1572 6.1572 6.1572 Å, 90.00 90.00 90.00°
Space group F-43m (No. 216)
Asymmetric unit:
Sb 0.0000 0.0000 0.0000 x4
Os 0.2500 0.2500 0.2500 x4
W 0.0000 0.0000 0.5000 x4

## Properties
* energy relative to the lowest polymorph listed for this composition: 0 meV/atom
* electronic total energy: -9.14 eV/atom
* crystal system: cubic
* formation energy from raw total energies: 0.300 eV per atom



10.
The following is a PBE-GGA calculation of a relaxed Sb2Os2W crystal, from the Alexandria database.

Cell: 4.9846 4.9846 4.7014 Å, 90.00 90.00 90.00°
Space group P4/mmm (No. 123)
Asymmetric unit:
Sb 0.0000 0.5000 0.0000 x2
Os 0.0000 0.0000 0.0000 x1
Os 0.0000 0.0000 0.5000 x1
W 0.5000 0.5000 0.5000 x1

## Properties
* electronic total energy: -6.68 eV/atom
* crystal system: tetragonal
* formation energy from raw total energies: 2.056 eV per atom



11.
The following is a PBE-GGA calculation of a relaxed SbOs3W crystal, from the Alexandria database.

Cell: 4.7196 4.7196 4.7196 Å, 90.00 90.00 90.00°
Space group Pm-3m (No. 221)
Asymmetric unit:
Sb 0.0000 0.0000 0.0000 x1
Os 0.0000 0.0000 0.5000 x3
W 0.5000 0.5000 0.5000 x1

## Properties
* energy relative to the lowest polymorph listed for this composition: 754 meV/atom
* electronic total energy: -7.32 eV/atom
* crystal system: cubic
* formation energy from raw total energies: 2.828 eV per atom



12.
The following is a PBE-GGA calculation of a relaxed Sb3OsW crystal, from the Alexandria database.

Cell: 5.1697 5.1697 5.1697 Å, 90.00 90.00 90.00°
Space group Pm-3m (No. 221)
Asymmetric unit:
Sb 0.0000 0.0000 0.5000 x3
Os 0.5000 0.5000 0.5000 x1
W 0.0000 0.0000 0.0000 x1

## Properties
* energy relative to the lowest polymorph listed for this composition: 86 meV/atom
* electronic total energy: -5.68 eV/atom
* crystal system: cubic
* formation energy from raw total energies: 1.632 eV per atom



13.
The following is a PBE-GGA calculation of a relaxed Sb3OsW crystal, from the Alexandria database.

Cell: 5.1135 5.1135 5.1135 Å, 90.00 90.00 90.00°
Space group Pm-3m (No. 221)
Asymmetric unit:
Sb 0.0000 0.0000 0.5000 x3
Os 0.0000 0.0000 0.0000 x1
W 0.5000 0.5000 0.5000 x1

## Properties
* energy relative to the lowest polymorph listed for this composition: 0 meV/atom
* electronic total energy: -5.76 eV/atom
* crystal system: cubic
* formation energy from raw total energies: 1.546 eV per atom



14.
The following is a PBE-GGA calculation of a relaxed Zn2SbOsW crystal, from the Alexandria database.

Cell: 4.9105 4.9105 4.7423 Å, 90.00 90.00 90.00°
Space group P4/mmm (No. 123)
Asymmetric unit:
Zn 0.0000 0.5000 0.0000 x2
Sb 0.0000 0.0000 0.5000 x1
Os 0.5000 0.5000 0.5000 x1
W 0.5000 0.5000 0.0000 x1

## Properties
* electronic total energy: -4.79 eV/atom
* crystal system: tetragonal
* formation energy from raw total energies: 1.377 eV per atom



15.
The following is a PBE-GGA calculation of a relaxed ZrSbOsW2 crystal, from the Alexandria database.

Cell: 4.7743 4.7743 5.1253 Å, 90.00 90.00 90.00°
Space group P4/mmm (No. 123)
Asymmetric unit:
Zr 0.0000 0.0000 0.0000 x1
Sb 0.0000 0.0000 0.5000 x1
Os 0.5000 0.5000 0.5000 x1
W 0.0000 0.5000 0.0000 x2

## Properties
* energy relative to the lowest polymorph listed for this composition: 790 meV/atom
* electronic total energy: -7.20 eV/atom
* crystal system: tetragonal
* formation energy from raw total energies: 2.758 eV per atom



16.
The following is a PBE-GGA calculation of a relaxed ZrSbOsW2 crystal, from the Alexandria database.

Cell: 4.8544 4.8544 4.7792 Å, 90.00 90.00 90.00°
Space group P4/mmm (No. 123)
Asymmetric unit:
Zr 0.0000 0.0000 0.0000 x1
Sb 0.5000 0.5000 0.5000 x1
Os 0.5000 0.5000 0.0000 x1
W 0.0000 0.5000 0.5000 x2

## Properties
* energy relative to the lowest polymorph listed for this composition: 0 meV/atom
* electronic total energy: -7.99 eV/atom
* crystal system: tetragonal
* formation energy from raw total energies: 1.968 eV per atom



17.
The following is a PBE-GGA calculation of a relaxed ZrSbOsW2 crystal, from the Alexandria database.

Cell: 4.8005 4.8005 5.0484 Å, 90.00 90.00 90.00°
Space group P4/mmm (No. 123)
Asymmetric unit:
Zr 0.0000 0.0000 0.0000 x1
Sb 0.0000 0.0000 0.5000 x1
Os 0.5000 0.5000 0.0000 x1
W 0.0000 0.5000 0.5000 x2

## Properties
* energy relative to the lowest polymorph listed for this composition: 490 meV/atom
* electronic total energy: -7.50 eV/atom
* crystal system: tetragonal
* formation energy from raw total energies: 2.458 eV per atom



18.
The following is a PBE-GGA calculation of a relaxed YSbOs2 crystal, from the Alexandria database.

Cell: 4.0177 4.0177 9.1434 Å, 90.00 90.00 90.00°
Space group I-4m2 (No. 119)
Asymmetric unit:
Y 0.0000 0.0000 0.0000 x2
Sb 0.0000 0.5000 0.2500 x2
Os 0.0000 0.0000 0.5000 x2
Os 0.0000 0.5000 0.7500 x2

## Properties
* electronic total energy: -8.03 eV/atom
* crystal system: tetragonal
* formation energy from raw total energies: 0.231 eV per atom



19.
The following is a PBE-GGA calculation of a relaxed YSbOs2 crystal, from the Alexandria database.

Cell: 7.5284 7.5284 5.9711 Å, 90.00 90.00 90.00°
Space group I-42d (No. 122)
Asymmetric unit:
Y 0.0000 0.0000 0.0000 x4
Sb 0.0000 0.0000 0.5000 x4
Os 0.2031 0.2500 0.6250 x8

## Properties
* electronic total energy: -7.58 eV/atom
* crystal system: tetragonal
* formation energy from raw total energies: 0.684 eV per atom



20.
The following is a PBE-GGA calculation of a relaxed YSb2Os2 crystal, from the Alexandria database.

Cell: 4.7060 4.7060 9.8246 Å, 90.00 90.00 90.00°
Space group I4/mmm (No. 139)
Asymmetric unit:
Y 0.0000 0.0000 0.0000 x2
Sb 0.0000 0.5000 0.2500 x4
Os 0.0000 0.0000 0.3770 x4

## Properties
* electronic total energy: -7.46 eV/atom
* crystal system: tetragonal
* formation energy from raw total energies: -0.027 eV per atom